# Ba2HIrAu, relaxed, DFT PBE
data_Ba2HIrAu
_space_group_name_H-M_alt 'P 1'
_space_group_IT_number 1
_space_group_name_Hall 'P 1'
_cell_length_a 5.704
_cell_length_b 5.704
_cell_length_c 3.718
_cell_angle_alpha 90.00
_cell_angle_beta 90.00
_cell_angle_gamma 90.00
loop_
_atom_site_label
_atom_site_type_symbol
_atom_site_fract_x
_atom_site_fract_y
_atom_site_fract_z
H1 H 0.000 0.000 0.000
Ir1 Ir 0.000 0.000 0.500
Au1 Au 0.500 0.500 0.500
Ba1 Ba 0.000 0.500 0.000
Ba2 Ba 0.500 0.000 0.000
# * space-group type: P4/mmm
# * Fermi-level density of states: 0.478 states/eV per atom
# * VASP energy: -21.15 eV per formula unit